Record 1
! PBE Al6PdRu5, optimized geometry; values from VASP
! volume = 164 Å³ per cell
! calculated formation energy = -744 meV per atom
! electronic total energy = -83.0 eV/cell
! M_tot = 0.00 μB/f.u.
! space group = C2/m (12)
&SYSTEM
  ibrav = 0, nat = 12, ntyp = 3
/
ATOMIC_SPECIES
Al 26.98 Al.upf
Pd 106.42 Pd.upf
Ru 101.07 Ru.upf
ATOMIC_POSITIONS angstrom
Al 3.980 1.549 1.331
Al 6.712 1.584 0.000
Al 8.099 1.549 2.709
Al 3.980 -1.549 1.331
Al 6.712 -1.584 0.000
Al 8.099 -1.549 2.709
Pd 6.040 0.000 2.020
Ru -0.672 0.000 2.020
Ru 2.029 0.000 0.679
Ru 3.422 0.000 3.388
Ru 8.657 0.000 0.652
Ru 10.050 0.000 3.361
CELL_PARAMETERS angstrom
6.712 -3.021 0.000
6.712 3.021 0.000
-1.344 0.000 4.040

***

Record 2
! PBE LaMg2Ni, optimized geometry; values from VASP
! volume = 93 Å³ per cell
! calculated formation energy = 130 meV per atom
! electronic total energy = -13.4 eV/cell
! M_tot = 0.00 μB/f.u.
! space group = C2/m (12)
&SYSTEM
  ibrav = 0, nat = 4, ntyp = 3
/
ATOMIC_SPECIES
La 138.91 La.upf
Mg 24.30 Mg.upf
Ni 58.69 Ni.upf
ATOMIC_POSITIONS angstrom
La 0.000 0.000 0.000
Mg 0.537 2.920 1.392
Mg 0.537 -2.920 1.392
Ni 2.867 0.000 0.000
CELL_PARAMETERS angstrom
2.867 -5.840 0.000
2.867 5.840 0.000
-1.793 0.000 2.784

***

Record 3
! PBE ZrSnS2Cl, optimized geometry; values from VASP
! E above lowest polymorph = 0.0 meV per atom
! volume = 126 Å³ per cell
! electronic total energy = -26.6 eV/cell
! M_tot = 0.00 μB/f.u.
! uncorrected formation energy = -0.80 eV/atom
! space group = P4/mmm (123)
&SYSTEM
  ibrav = 0, nat = 5, ntyp = 4
/
ATOMIC_SPECIES
Zr 91.22 Zr.upf
Sn 118.71 Sn.upf
S 32.06 S.upf
Cl 35.45 Cl.upf
ATOMIC_POSITIONS angstrom
Zr 0.000 0.000 0.000
Sn 2.515 2.515 2.491
S 0.000 2.515 0.000
S 2.515 0.000 0.000
Cl 0.000 0.000 2.491
CELL_PARAMETERS angstrom
5.030 0.000 0.000
0.000 5.030 0.000
0.000 0.000 4.983

***

Record 4
! PBE MnAl2In, optimized geometry; values from VASP
! volume = 70 Å³ per cell
! calculated formation energy = 86 meV per atom
! electronic total energy = -19.0 eV/cell
! M_tot = 2.52 μB/f.u.
! space group = R-3m (166)
&SYSTEM
  ibrav = 0, nat = 4, ntyp = 3
/
ATOMIC_SPECIES
Mn 54.94 Mn.upf
Al 26.98 Al.upf
In 114.82 In.upf
ATOMIC_POSITIONS angstrom
Mn 0.000 0.000 0.000
Al 0.000 0.000 7.030
Al 0.000 0.000 19.861
In 0.000 0.000 13.445
CELL_PARAMETERS angstrom
1.497 0.864 8.964
-1.497 0.864 8.964
0.000 -1.728 8.964

***

Record 5
! PBE ScSiBr, optimized geometry; values from VASP
! volume = 62 Å³ per cell
! electronic total energy = -14.0 eV/cell
! M_tot = 0.00 μB/f.u.
! uncorrected formation energy = -0.19 eV/atom
! space group = P-6m2 (187)
&SYSTEM
  ibrav = 0, nat = 3, ntyp = 3
/
ATOMIC_SPECIES
Sc 44.96 Sc.upf
Si 28.09 Si.upf
Br 79.90 Br.upf
ATOMIC_POSITIONS angstrom
Sc 0.000 0.000 0.000
Si 2.332 1.346 1.655
Br 0.000 2.693 0.000
CELL_PARAMETERS angstrom
4.664 0.000 0.000
-2.332 4.039 0.000
0.000 0.000 3.310

***

Record 6
! PBE CePmDy5Er2, optimized geometry; values from VASP
! volume = 583 Å³ per cell
! calculated formation energy = 175 meV per atom
! electronic total energy = -82.5 eV/cell
! M_tot = 0.76 μB/f.u.
! space group = Cmc2_1 (36)
&SYSTEM
  ibrav = 0, nat = 18, ntyp = 4
/
ATOMIC_SPECIES
Ce 140.12 Ce.upf
Pm 145.00 Pm.upf
Dy 162.50 Dy.upf
Er 167.26 Er.upf
ATOMIC_POSITIONS angstrom
Ce 2.843 6.557 4.787
Ce 2.843 -6.557 0.000
Pm 2.843 2.070 0.952
Pm 2.843 -2.070 5.739
Dy 2.843 10.429 4.867
Dy 2.843 4.992 1.825
Dy 2.843 4.156 7.739
Dy 2.843 2.276 4.618
Dy 2.843 0.623 7.440
Dy 2.843 -0.623 2.653
Dy 2.843 -2.276 9.405
Dy 2.843 -4.156 2.952
Dy 2.843 -4.992 6.612
Dy 2.843 -10.429 0.080
Er 2.843 8.279 1.916
Er 2.843 7.804 7.825
Er 2.843 -7.804 3.038
Er 2.843 -8.279 6.703
CELL_PARAMETERS angstrom
2.843 -10.707 0.000
2.843 10.707 0.000
0.000 0.000 9.574

***

Record 7
! PBE ZnCr2Ni9, optimized geometry; values from VASP
! volume = 134 Å³ per cell
! calculated formation energy = -60 meV per atom
! electronic total energy = -73.3 eV/cell
! M_tot = 2.56 μB/f.u.
! space group = P4/mmm (123)
&SYSTEM
  ibrav = 0, nat = 12, ntyp = 3
/
ATOMIC_SPECIES
Zn 65.41 Zn.upf
Cr 52.00 Cr.upf
Ni 58.69 Ni.upf
ATOMIC_POSITIONS angstrom
Zn 0.000 0.000 0.000
Cr 0.000 0.000 3.535
Cr 0.000 0.000 7.142
Ni 0.000 1.775 1.833
Ni 0.000 1.775 5.338
Ni 0.000 1.775 8.844
Ni 1.775 0.000 1.833
Ni 1.775 0.000 5.338
Ni 1.775 0.000 8.844
Ni 1.775 1.775 0.000
Ni 1.775 1.775 3.578
Ni 1.775 1.775 7.099
CELL_PARAMETERS angstrom
3.549 0.000 0.000
0.000 3.549 0.000
0.000 0.000 10.677

***

Record 8
! PBE Cs2AcHF6, optimized geometry; values from VASP
! volume = 201 Å³ per cell
! electronic total energy = -51.5 eV/cell
! M_tot = 0.00 μB/f.u.
! space group = P-1 (2)
&SYSTEM
  ibrav = 0, nat = 10, ntyp = 4
/
ATOMIC_SPECIES
Cs 132.91 Cs.upf
Ac 227.00 Ac.upf
H 1.01 H.upf
F 19.00 F.upf
ATOMIC_POSITIONS angstrom
Cs 0.672 1.450 1.198
Cs 5.769 8.882 5.152
Ac 3.220 5.166 3.175
H 2.446 3.573 0.000
F 0.943 3.854 2.917
F 3.358 6.625 5.404
F 3.095 3.592 4.964
F 3.346 6.740 1.386
F 3.083 3.707 0.946
F 5.498 6.478 3.433
CELL_PARAMETERS angstrom
4.423 0.000 0.000
0.469 7.147 0.000
1.548 3.185 6.350